[1]
First-principles (PBE-GGA) data for a geometry-optimized AlTl2B structure, as listed in Alexandria via LeMat-Bulk.

Summary:
**Calculated formation energy**: 4.33 eV per formula unit
**Fermi-level density of states**: 1.4 states/eV/cell
**Electronic total energy**: -10.827 eV/cell
**Symmetry**: Fm-3m
**Theoretical density**: 8.5 Mg/m³

```
AlTl2B
1.0
0.000 3.514 3.514
3.514 0.000 3.514
3.514 3.514 0.000
Al Tl B
1 2 1
direct
0.000 0.000 0.000
0.250 0.250 0.250
0.750 0.750 0.750
0.500 0.500 0.500
```



[2]
First-principles (PBE-GGA) data for a geometry-optimized Ru2PtW structure, as listed in Alexandria via LeMat-Bulk.

Summary:
**Calculated formation energy**: -0.14 eV per formula unit
**Fermi-level density of states**: 3.7 states/eV/cell
**Electronic total energy**: -37.682 eV/cell
**Symmetry**: C2/m
**Theoretical density**: 16.2 Mg/m³

```
Ru2PtW
1.0
4.560 -1.380 0.000
4.560 1.380 0.000
-0.879 0.000 4.737
Ru Pt W
2 1 1
direct
0.244 0.244 0.237
0.756 0.756 0.763
0.000 0.000 0.500
0.500 0.500 0.000
```



[3]
First-principles (PBE-GGA) data for a geometry-optimized Li2AcAlGa4 structure, as listed in Alexandria via LeMat-Bulk.

Summary:
**Calculated formation energy**: -2.56 eV per formula unit
**Fermi-level density of states**: 3.1 states/eV/cell
**Electronic total energy**: -26.346 eV/cell
**Symmetry**: R-3m
**Theoretical density**: 5.6 Mg/m³

```
Li2AcAlGa4
1.0
2.235 1.290 9.334
-2.235 1.290 9.334
0.000 -2.581 9.334
Li Ac Al Ga
2 1 1 4
direct
0.227 0.227 0.227
0.773 0.773 0.773
0.000 0.000 0.000
0.500 0.500 0.500
0.123 0.123 0.123
0.406 0.406 0.406
0.594 0.594 0.594
0.877 0.877 0.877
```



[4]
First-principles (PBE-GGA) data for a geometry-optimized LiAg9Pd4 structure, as listed in Alexandria via LeMat-Bulk.

Summary:
**Calculated formation energy**: 0.22 eV per formula unit
**Fermi-level density of states**: 15.2 states/eV/cell
**Electronic total energy**: -96.246 eV/cell
**Symmetry**: P6_3/mmc
**Theoretical density**: 9.6 Mg/m³

```
LiAg9Pd4
1.0
8.076 0.000 0.000
-4.038 6.994 0.000
0.000 0.000 8.600
Li Ag Pd
2 18 8
direct
0.333 0.667 0.250
0.667 0.333 0.750
0.072 0.536 0.750
0.204 0.407 0.045
0.204 0.407 0.455
0.204 0.796 0.045
0.204 0.796 0.455
0.407 0.204 0.545
0.407 0.204 0.955
0.464 0.536 0.750
0.464 0.928 0.750
0.536 0.072 0.250
0.536 0.464 0.250
0.593 0.796 0.045
0.593 0.796 0.455
0.796 0.204 0.545
0.796 0.204 0.955
0.796 0.593 0.545
0.796 0.593 0.955
0.928 0.464 0.250
0.000 0.000 0.000
0.000 0.000 0.500
0.113 0.226 0.750
0.113 0.887 0.750
0.226 0.113 0.250
0.774 0.887 0.750
0.887 0.113 0.250
0.887 0.774 0.250
```



[5]
First-principles (PBE-GGA) data for a geometry-optimized Tb2Pm6Nd structure, as listed in Alexandria via LeMat-Bulk.

Summary:
**Calculated formation energy**: 0.13 eV per formula unit
**Fermi-level density of states**: 13.9 states/eV/cell
**Electronic total energy**: -42.399 eV/cell
**Symmetry**: P-1
**Theoretical density**: 7.2 Mg/m³

```
Tb2Pm6Nd
1.0
3.638 0.000 0.000
-0.020 8.906 0.000
-1.817 -0.044 9.438
Tb Pm Nd
2 6 1
direct
0.056 0.334 0.111
0.944 0.666 0.889
0.167 0.999 0.333
0.278 0.666 0.557
0.390 0.335 0.780
0.610 0.665 0.220
0.722 0.334 0.443
0.833 0.001 0.667
0.500 0.000 0.000
```



[6]
First-principles (PBE-GGA) data for a geometry-optimized CaReN3 structure, as listed in Alexandria via LeMat-Bulk.

Summary:
**Fermi-level density of states**: 0.0 states/eV/cell
**Energy relative to the elements, uncorrected**: -295 meV per atom
**Electronic total energy**: -81.798 eV/cell
**Symmetry**: P1
**Theoretical density**: 5.2 Mg/m³

```
CaReN3
1.0
5.378 0.000 0.000
-0.504 6.088 0.000
-2.047 -2.770 5.218
Ca Re N
2 2 6
direct
0.000 0.000 0.000
0.423 0.359 0.654
0.388 0.632 0.330
0.930 0.736 0.379
0.090 0.422 0.316
0.241 0.915 0.357
0.536 0.548 0.086
0.683 0.684 0.610
0.864 0.248 0.689
0.866 0.051 0.540
```



[7]
First-principles (PBE-GGA) data for a geometry-optimized HfNbCr4 structure, as listed in Alexandria via LeMat-Bulk.

Summary:
**Calculated formation energy**: -0.69 eV per formula unit
**Fermi-level density of states**: 3.0 states/eV/cell
**Electronic total energy**: -59.203 eV/cell
**Symmetry**: F-43m
**Theoretical density**: 9.2 Mg/m³

```
HfNbCr4
1.0
0.000 3.510 3.510
3.510 0.000 3.510
3.510 3.510 0.000
Hf Nb Cr
1 1 4
direct
0.000 0.000 0.000
0.250 0.250 0.250
0.126 0.625 0.625
0.625 0.126 0.625
0.625 0.625 0.126
0.625 0.625 0.625
```



[8]
First-principles (PBE-GGA) data for a geometry-optimized YGe2MoW structure, as listed in Alexandria via LeMat-Bulk.

Summary:
**Calculated formation energy**: 3.24 eV per formula unit
**Fermi-level density of states**: 5.3 states/eV/cell
**Electronic total energy**: -36.244 eV/cell
**Symmetry**: P4/mmm
**Theoretical density**: 7.5 Mg/m³

```
YGe2MoW
1.0
4.824 0.000 0.000
0.000 4.824 0.000
0.000 0.000 4.876
Y Ge Mo W
1 2 1 1
direct
0.000 0.000 0.000
0.000 0.500 0.500
0.500 0.000 0.500
0.500 0.500 0.500
0.500 0.500 0.000
```